Entry 1:
An optimized crystal structure of CsY3Zr, computed with PBE.

Computed properties:
- calculated total energy (eV for the cell shown) = -25.332
- relative energy among the computed polymorphs (meV/atom) = 0
- DFT formation energy (meV per atom) = 692
- N(E_F) (states/eV/atom) = 1.12
- crystal system = cubic

Unit cell a=5.8824 b=5.8824 c=5.8824 alpha=90.00 beta=90.00 gamma=90.00
Atoms (fractional coordinates):
Cs 0.0000 0.0000 0.0000
Y 0.0000 0.5000 0.5000
Y 0.5000 0.0000 0.5000
Y 0.5000 0.5000 0.0000
Zr 0.5000 0.5000 0.5000

=====

Entry 2:
An optimized crystal structure of Sm2ThAg, computed with PBE.

Computed properties:
- calculated total energy (eV for the cell shown) = -19.605
- relative energy among the computed polymorphs (meV/atom) = 153
- DFT formation energy (meV per atom) = 26
- N(E_F) (states/eV/atom) = 1.22
- crystal system = tetragonal

Unit cell a=5.6836 b=5.6836 c=3.5821 alpha=90.00 beta=90.00 gamma=90.00
Atoms (fractional coordinates):
Sm 0.0000 0.5000 0.0000
Sm 0.5000 0.0000 0.0000
Th 0.0000 0.0000 0.5000
Ag 0.5000 0.5000 0.5000

=====

Entry 3:
An optimized crystal structure of Co2HgRh2, computed with PBE.

Computed properties:
- calculated total energy (eV for the cell shown) = -55.905
- relative energy among the computed polymorphs (meV/atom) = 26
- DFT formation energy (meV per atom) = 253
- N(E_F) (states/eV/atom) = 1.27
- crystal system = tetragonal

Unit cell a=7.3623 b=7.3623 c=2.7416 alpha=90.00 beta=90.00 gamma=90.00
Atoms (fractional coordinates):
Co 0.1630 0.3370 0.0000
Co 0.3370 0.8370 0.0000
Co 0.6630 0.1630 0.0000
Co 0.8370 0.6630 0.0000
Hg 0.0000 0.0000 0.5000
Hg 0.5000 0.5000 0.5000
Rh 0.1300 0.6300 0.5000
Rh 0.3700 0.1300 0.5000
Rh 0.6300 0.8700 0.5000
Rh 0.8700 0.3700 0.5000

=====

Entry 4:
An optimized crystal structure of CoRu3N, computed with PBE.

Computed properties:
- calculated total energy (eV for the cell shown) = -30.354
- relative energy among the computed polymorphs (meV/atom) = 2179
- uncorrected formation energy (eV/atom) = 2.581
- N(E_F) (states/eV/atom) = 1.58
- crystal system = cubic

Unit cell a=4.4229 b=4.4229 c=4.4229 alpha=90.00 beta=90.00 gamma=90.00
Atoms (fractional coordinates):
Co 0.0000 0.0000 0.0000
Ru 0.0000 0.0000 0.5000
Ru 0.0000 0.5000 0.0000
Ru 0.5000 0.0000 0.0000
N 0.5000 0.5000 0.5000

=====

Entry 5:
An optimized crystal structure of Pr12NdAl4O3, computed with PBE.

Computed properties:
- calculated total energy (eV for the cell shown) = -105.342
- uncorrected formation energy (eV/atom) = -0.669
- N(E_F) (states/eV/atom) = 0.80
- crystal system = cubic

Unit cell a=8.8782 b=8.8782 c=8.8782 alpha=109.47 beta=109.47 gamma=109.47
Atoms (fractional coordinates):
Pr 0.0000 0.2720 0.2720
Pr 0.0000 0.7280 0.7280
Pr 0.2500 0.5000 0.7500
Pr 0.2500 0.7500 0.5000
Pr 0.2720 0.0000 0.2720
Pr 0.2720 0.2720 0.0000
Pr 0.5000 0.2500 0.7500
Pr 0.5000 0.7500 0.2500
Pr 0.7280 0.0000 0.7280
Pr 0.7280 0.7280 0.0000
Pr 0.7500 0.2500 0.5000
Pr 0.7500 0.5000 0.2500
Nd 0.0000 0.0000 0.0000
Al 0.0000 0.0000 0.5000
Al 0.0000 0.5000 0.0000
Al 0.5000 0.0000 0.0000
Al 0.5000 0.5000 0.5000
O 0.0000 0.5000 0.5000
O 0.5000 0.0000 0.5000
O 0.5000 0.5000 0.0000

=====

Entry 6:
An optimized crystal structure of NbO2F, computed with PBE.

Computed properties:
- calculated total energy (eV for the cell shown) = -129.445
- uncorrected formation energy (eV/atom) = -2.626
- N(E_F) (states/eV/atom) = 0.00
- crystal system = orthorhombic

Unit cell a=5.5941 b=5.1005 c=8.7709 alpha=90.00 beta=90.00 gamma=90.00
Atoms (fractional coordinates):
Nb 0.2500 0.0000 0.0631
Nb 0.2500 0.5000 0.4369
Nb 0.7500 0.0000 0.9369
Nb 0.7500 0.5000 0.5631
O 0.0652 0.2018 0.9280
O 0.0652 0.2982 0.5720
O 0.4348 0.7018 0.5720
O 0.4348 0.7982 0.9280
O 0.5652 0.2018 0.0720
O 0.5652 0.2982 0.4280
O 0.9348 0.7018 0.4280
O 0.9348 0.7982 0.0720
F 0.1630 0.2500 0.2500
F 0.3370 0.7500 0.2500
F 0.6630 0.2500 0.7500
F 0.8370 0.7500 0.7500

=====

Entry 7:
An optimized crystal structure of Ta2SiSb2, computed with PBE.

Computed properties:
- calculated total energy (eV for the cell shown) = -72.785
- relative energy among the computed polymorphs (meV/atom) = 0
- uncorrected formation energy (eV/atom) = 0.196
- N(E_F) (states/eV/atom) = 0.29
- crystal system = tetragonal

Unit cell a=7.2263 b=7.2263 c=3.8918 alpha=90.00 beta=90.00 gamma=90.00
Atoms (fractional coordinates):
Ta 0.1469 0.3531 0.0000
Ta 0.3531 0.8531 0.0000
Ta 0.6469 0.1469 0.0000
Ta 0.8531 0.6469 0.0000
Si 0.0000 0.0000 0.0000
Si 0.5000 0.5000 0.0000
Sb 0.1531 0.6531 0.5000
Sb 0.3469 0.1531 0.5000
Sb 0.6531 0.8469 0.5000
Sb 0.8469 0.3469 0.5000

=====

Entry 8:
An optimized crystal structure of ZnCu2N2, computed with PBE.

Computed properties:
- calculated total energy (eV for the cell shown) = -43.644
- relative energy among the computed polymorphs (meV/atom) = 215
- uncorrected formation energy (eV/atom) = 0.859
- N(E_F) (states/eV/atom) = 0.49
- crystal system = tetragonal

Unit cell a=5.8374 b=5.8374 c=2.9685 alpha=90.00 beta=90.00 gamma=90.00
Atoms (fractional coordinates):
Zn 0.0000 0.0000 0.0000
Zn 0.5000 0.5000 0.0000
Cu 0.1486 0.3514 0.5000
Cu 0.3514 0.8514 0.5000
Cu 0.6486 0.1486 0.5000
Cu 0.8514 0.6486 0.5000
N 0.1737 0.6737 0.0000
N 0.3263 0.1737 0.0000
N 0.6737 0.8263 0.0000
N 0.8263 0.3263 0.0000